Computed, not measured: Ce3Nd2ThAs6 after structural relaxation at the GGA-PBE level of DFT.

Values from the calculation:
**Formation energy**: -1.464 eV/atom
**Raw total energy**: -80.2 eV per formula unit
**Spin magnetization**: 0.178 μB per atom

abc: 4.2430 8.4915 9.4933
angles: 103.02 102.91 90.00
Last column: nearest neighbours and their distance in Å.
Element x y z (fractional)
Ce 0.5000 0.5000 0.0000  6 As 2.98-3.00
Ce 0.1673 0.8326 0.3347  6 As 2.97-2.99
Ce 0.8327 0.1674 0.6653  6 As 2.97-2.99
As 0.9990 0.2501 0.9980  3 Ce 2.99-3.00, 2 Th 3.00, 1 Nd 3.03
As 0.3347 0.4133 0.6694  3 Ce 2.97-2.98, 3 Nd 3.01-3.02
As 0.6653 0.5867 0.3306  3 Ce 2.97-2.98, 3 Nd 3.01-3.02
As 0.0010 0.7499 0.0020  3 Ce 2.99-3.00, 2 Th 3.00, 1 Nd 3.03
As 0.6667 0.0798 0.3335  3 Ce 2.99, 1 Th 3.00, 2 Nd 3.03
As 0.3333 0.9202 0.6665  3 Ce 2.99, 1 Th 3.00, 2 Nd 3.03
Nd 0.8327 0.6651 0.6654  6 As 3.01-3.03
Nd 0.1673 0.3349 0.3346  6 As 3.01-3.03
Th 0.5000 0.0000 0.0000  6 As 3.00